Entry 1:
# CdBi2Pd2

Crystalline CdBi2Pd2 at its relaxed geometry (PBEsol, Alexandria via LeMat-Bulk).

Computed properties:
The total energy is -45.6 eV for the cell shown.

CIF file:
```
data_CdBi2Pd2
_symmetry_space_group_name_H-M 'P 4/m b m'
_symmetry_Int_Tables_number 127
_symmetry_space_group_name_Hall '-P 4 2ab'
_cell_length_a 7.244
_cell_length_b 7.244
_cell_length_c 4.055
_cell_angle_alpha 90.00
_cell_angle_beta 90.00
_cell_angle_gamma 90.00
loop_
_atom_site_label
_atom_site_type_symbol
_atom_site_fract_x
_atom_site_fract_y
_atom_site_fract_z
_atom_site_occupancy
Cd1 Cd 0.000 0.000 0.000 1
Bi1 Bi 0.163 0.337 0.500 1
Pd1 Pd 0.138 0.638 0.000 1
```

***

Entry 2:
# Ta2InTc

Crystalline Ta2InTc at its relaxed geometry (PBEsol, Alexandria via LeMat-Bulk).

Computed properties:
The total energy is -154.4 eV for the cell shown.

CIF file:
```
data_Ta2InTc
_symmetry_space_group_name_H-M 'F -4 3 m'
_symmetry_Int_Tables_number 216
_symmetry_space_group_name_Hall 'F -4 2 3'
_cell_length_a 6.498
_cell_length_b 6.498
_cell_length_c 6.498
_cell_angle_alpha 90.00
_cell_angle_beta 90.00
_cell_angle_gamma 90.00
loop_
_atom_site_label
_atom_site_type_symbol
_atom_site_fract_x
_atom_site_fract_y
_atom_site_fract_z
_atom_site_occupancy
Ta1 Ta 0.000 0.000 0.000 1
Ta2 Ta 0.250 0.250 0.250 1
In1 In 0.250 0.250 0.750 1
Tc1 Tc 0.000 0.000 0.500 1
```

***

Entry 3:
# BaCd2Bi2

Crystalline BaCd2Bi2 at its relaxed geometry (PBEsol, Alexandria via LeMat-Bulk).

Computed properties:
The total energy is -30.3 eV for the cell shown.

CIF file:
```
data_BaCd2Bi2
_symmetry_space_group_name_H-M 'I 4/m m m'
_symmetry_Int_Tables_number 139
_symmetry_space_group_name_Hall '-I 4 2'
_cell_length_a 4.652
_cell_length_b 4.652
_cell_length_c 14.533
_cell_angle_alpha 90.00
_cell_angle_beta 90.00
_cell_angle_gamma 90.00
loop_
_atom_site_label
_atom_site_type_symbol
_atom_site_fract_x
_atom_site_fract_y
_atom_site_fract_z
_atom_site_occupancy
Ba1 Ba 0.000 0.000 0.000 1
Cd1 Cd 0.000 0.500 0.250 1
Bi1 Bi 0.000 0.000 0.382 1
```

***

Entry 4:
# Cu2RhSe

Crystalline Cu2RhSe at its relaxed geometry (PBEsol, Alexandria via LeMat-Bulk).

Computed properties:
As for the energy relative to the elements, uncorrected: 0.255 eV per atom.

CIF file:
```
data_Cu2RhSe
_symmetry_space_group_name_H-M 'R -3 m'
_symmetry_Int_Tables_number 166
_symmetry_space_group_name_Hall '-R 3 2"'
_cell_length_a 2.8291
_cell_length_b 2.8291
_cell_length_c 23.9196
_cell_angle_alpha 90.00
_cell_angle_beta 90.00
_cell_angle_gamma 120.00
loop_
_atom_site_label
_atom_site_type_symbol
_atom_site_fract_x
_atom_site_fract_y
_atom_site_fract_z
_atom_site_occupancy
Cu1 Cu 0.0000 0.0000 0.2500 1
Rh1 Rh 0.0000 0.0000 0.0000 1
Se1 Se 0.0000 0.0000 0.5000 1
```

***

Entry 5:
# K3MgCo

Crystalline K3MgCo at its relaxed geometry (PBEsol, Alexandria via LeMat-Bulk).

Computed properties:
The total energy is -7.1 eV for the cell shown.

CIF file:
```
data_K3MgCo
_symmetry_space_group_name_H-M 'P m -3 m'
_symmetry_Int_Tables_number 221
_symmetry_space_group_name_Hall '-P 4 2 3'
_cell_length_a 6.626
_cell_length_b 6.626
_cell_length_c 6.626
_cell_angle_alpha 90.00
_cell_angle_beta 90.00
_cell_angle_gamma 90.00
loop_
_atom_site_label
_atom_site_type_symbol
_atom_site_fract_x
_atom_site_fract_y
_atom_site_fract_z
_atom_site_occupancy
K1 K 0.000 0.000 0.500 1
Mg1 Mg 0.000 0.000 0.000 1
Co1 Co 0.500 0.500 0.500 1
```

***

Entry 6:
# Rb3Au7

Crystalline Rb3Au7 at its relaxed geometry (PBEsol, Alexandria via LeMat-Bulk).

Computed properties:
The total energy is -65.2 eV for the cell shown.

CIF file:
```
data_Rb3Au7
_symmetry_space_group_name_H-M 'C m m m'
_symmetry_Int_Tables_number 65
_symmetry_space_group_name_Hall '-C 2 2'
_cell_length_a 5.575
_cell_length_b 13.210
_cell_length_c 7.249
_cell_angle_alpha 90.00
_cell_angle_beta 90.00
_cell_angle_gamma 90.00
loop_
_atom_site_label
_atom_site_type_symbol
_atom_site_fract_x
_atom_site_fract_y
_atom_site_fract_z
_atom_site_occupancy
Rb1 Rb 0.000 0.000 0.000 1
Rb2 Rb 0.000 0.162 0.500 1
Au1 Au 0.000 0.393 0.194 1
Au2 Au 0.000 0.500 0.500 1
Au3 Au 0.250 0.250 0.000 1
```

***

Entry 7:
# CrPO5

Crystalline CrPO5 at its relaxed geometry (PBEsol, Alexandria via LeMat-Bulk).

Computed properties:
The calculation puts the excess energy over the best structure of this formula in the dataset at 5 meV/atom. As for the energy relative to the elements, uncorrected: -1.923 eV per atom.

CIF file:
```
data_CrPO5
_symmetry_space_group_name_H-M 'P n m a'
_symmetry_Int_Tables_number 62
_symmetry_space_group_name_Hall '-P 2ac 2n'
_cell_length_a 7.877
_cell_length_b 6.017
_cell_length_c 7.075
_cell_angle_alpha 90.00
_cell_angle_beta 90.00
_cell_angle_gamma 90.00
loop_
_atom_site_label
_atom_site_type_symbol
_atom_site_fract_x
_atom_site_fract_y
_atom_site_fract_z
_atom_site_occupancy
Cr1 Cr 0.186 0.250 0.213 1
P1 P 0.121 0.750 0.108 1
O1 O 0.050 0.250 0.996 1
O2 O 0.131 0.750 0.633 1
O3 O 0.132 0.549 0.244 1
O4 O 0.228 0.250 0.471 1
```

***

Entry 8:
# SrCr2InTc

Crystalline SrCr2InTc at its relaxed geometry (PBEsol, Alexandria via LeMat-Bulk).

Computed properties:
The total energy is -26.3 eV for the cell shown.

CIF file:
```
data_SrCr2InTc
_symmetry_space_group_name_H-M 'P 4/m m m'
_symmetry_Int_Tables_number 123
_symmetry_space_group_name_Hall '-P 4 2'
_cell_length_a 5.034
_cell_length_b 5.034
_cell_length_c 5.861
_cell_angle_alpha 90.00
_cell_angle_beta 90.00
_cell_angle_gamma 90.00
loop_
_atom_site_label
_atom_site_type_symbol
_atom_site_fract_x
_atom_site_fract_y
_atom_site_fract_z
_atom_site_occupancy
Sr1 Sr 0.000 0.000 0.000 1
Cr1 Cr 0.000 0.500 0.500 1
In1 In 0.000 0.000 0.500 1
Tc1 Tc 0.500 0.500 0.000 1
```

***

Mass density
In order: 11.6 13.9 8.2 9.3 1.1 10.2 3.2 4.5
Unit: g/cm³